VASP calculation (PBE) on P2Pd2O7 after structural relaxation.

excess energy over the best structure of this formula in the dataset	1.510	kcal/mol of atoms
space-group type	No. 1
raw total energy	-6.458	eV per atom

Geometry as extended XYZ:
```
11
Lattice="4.475 0.000 0.000 -1.208 5.468 0.000 -1.292 -1.032 5.427" Properties=species:S:1:pos:R:3 pbc="T T T"
P 0.000 0.000 0.000
P -0.768 2.777 3.412
Pd 1.834 0.159 2.733
Pd 1.868 2.600 0.693
O -1.624 3.656 4.388
O 1.007 0.741 0.926
O 0.009 1.745 4.203
O 0.075 3.701 2.556
O 2.355 -0.013 4.669
O 2.473 4.503 0.854
O 2.688 2.031 2.503
```

=====

VASP calculation (PBE) on P2Pd2O7 after structural relaxation.

excess energy over the best structure of this formula in the dataset	0.000	kcal/mol of atoms
space-group type	No. 15
raw total energy	-6.523	eV per atom

Geometry as extended XYZ:
```
22
Lattice="6.606 -2.571 0.000 6.606 2.571 0.000 -1.049 0.000 8.009" Properties=species:S:1:pos:R:3 pbc="T T T"
P 4.386 1.979 5.883
P 7.253 1.979 6.131
P 4.910 -1.979 1.878
P 7.777 -1.979 2.126
Pd 3.303 1.285 0.000
Pd 2.779 -1.285 4.005
Pd 6.606 0.000 0.000
Pd 6.082 0.000 4.005
O 6.344 2.424 2.002
O 1.699 0.485 6.254
O 4.188 1.345 7.315
O 4.466 0.969 4.751
O 2.223 -0.485 2.250
O 7.451 1.345 4.699
O 7.173 0.969 7.263
O 4.990 -0.969 0.746
O 4.712 -1.345 3.310
O 9.940 0.485 5.760
O 7.697 -0.969 3.259
O 7.975 -1.345 0.695
O 10.464 -0.485 1.755
O 5.819 -2.424 6.007
```

=====

VASP calculation (PBE) on PPdPtO after structural relaxation.

excess energy over the best structure of this formula in the dataset	5.599	kcal/mol of atoms
space-group type	No. 129
raw total energy	-5.311	eV per atom

Geometry as extended XYZ:
```
8
Lattice="3.898 0.000 0.000 0.000 3.898 0.000 0.000 0.000 6.921" Properties=species:S:1:pos:R:3 pbc="T T T"
P 0.974 0.974 1.489
P 2.923 2.923 5.432
Pd 0.974 2.923 0.000
Pd 2.923 0.974 0.000
Pt 0.974 0.974 4.630
Pt 2.923 2.923 2.292
O 0.974 2.923 3.461
O 2.923 0.974 3.461
```

=====

VASP calculation (PBE) on PPdPtO after structural relaxation.

excess energy over the best structure of this formula in the dataset	0.000	kcal/mol of atoms
space-group type	No. 26
raw total energy	-5.554	eV per atom

Geometry as extended XYZ:
```
8
Lattice="3.819 0.000 0.000 0.000 5.859 0.000 0.000 0.000 5.765" Properties=species:S:1:pos:R:3 pbc="T T T"
P 0.000 1.084 0.000
P 0.000 4.775 2.883
Pd 1.910 2.129 0.782
Pd 1.910 3.730 3.664
Pt 0.000 1.144 3.465
Pt 0.000 4.715 0.583
O 1.910 1.522 3.068
O 1.910 4.337 0.186
```

=====

VASP calculation (PBE) on PPdPtO after structural relaxation.

excess energy over the best structure of this formula in the dataset	0.789	kcal/mol of atoms
space-group type	No. 129
raw total energy	-5.520	eV per atom

Geometry as extended XYZ:
```
8
Lattice="4.239 0.000 0.000 0.000 4.239 0.000 0.000 0.000 6.550" Properties=species:S:1:pos:R:3 pbc="T T T"
P 1.060 1.060 1.145
P 3.179 3.179 5.405
Pd 1.060 1.060 3.569
Pd 3.179 3.179 2.981
Pt 1.060 3.179 0.000
Pt 3.179 1.060 0.000
O 1.060 3.179 3.275
O 3.179 1.060 3.275
```

=====

VASP calculation (PBE) on RbPPdO4 after structural relaxation.

space-group type	No. 140
raw total energy	-6.185	eV per atom

Geometry as extended XYZ:
```
14
Lattice="-3.512 3.512 5.280 3.512 -3.512 5.280 3.512 3.512 -5.280" Properties=species:S:1:pos:R:3 pbc="T T T"
Rb 0.000 0.000 2.640
Rb 0.000 0.000 7.920
P 3.512 0.000 2.640
P 0.000 3.512 2.640
Pd 3.512 0.000 0.000
Pd 0.000 3.512 0.000
O 2.651 -0.862 1.662
O 4.374 -0.862 3.618
O 4.374 0.862 1.662
O 2.651 0.862 3.618
O 0.862 2.651 1.662
O -0.862 2.651 3.618
O -0.862 4.374 1.662
O 0.862 4.374 3.618
```

=====

VASP calculation (PBE) on Rb4P2PdO8 after structural relaxation.

space-group type	No. 2
raw total energy	-5.948	eV per atom

Geometry as extended XYZ:
```
15
Lattice="5.761 0.000 0.000 0.934 6.153 0.000 1.490 0.262 7.450" Properties=species:S:1:pos:R:3 pbc="T T T"
Rb 1.585 1.234 2.652
Rb 3.509 4.704 7.388
Rb 4.675 1.710 0.063
Rb 6.600 5.180 4.798
P 3.216 1.633 5.716
P 4.969 4.782 1.734
Pd 4.092 3.207 3.725
O 2.528 2.913 5.045
O 2.495 0.358 5.286
O 3.283 1.790 7.240
O 3.508 4.651 2.364
O 4.676 1.763 5.086
O 4.901 4.624 0.210
O 5.689 6.056 2.165
O 5.657 3.502 2.405
```

=====

VASP calculation (PBE) on RePPdO after structural relaxation.

excess energy over the best structure of this formula in the dataset	0.000	kcal/mol of atoms
space-group type	No. 26
raw total energy	-7.264	eV per atom

Geometry as extended XYZ:
```
8
Lattice="3.342 0.000 0.000 0.000 6.358 0.000 0.000 0.000 5.929" Properties=species:S:1:pos:R:3 pbc="T T T"
Re 0.000 1.392 0.000
Re 0.000 4.966 2.965
P 0.000 0.756 2.231
P 0.000 5.602 5.196
Pd 1.671 2.345 2.219
Pd 1.671 4.014 5.184
O 1.671 1.769 5.029
O 1.671 4.589 2.064
```

=====

Number 3 is which compound?
PPdPtO